The following is a DFT calculation (PBE+U) of an optimized crystal structure of TbTmMoO6.

```
data_TbTmMoO6
_cell_length_a 5.4898
_cell_length_b 5.4898
_cell_length_c 4.7144
_cell_angle_alpha 90.00
_cell_angle_beta 90.00
_cell_angle_gamma 120.00
_space_group_name_H-M_alt 'P 3 1 2'
_space_group_IT_number 149
loop_
_space_group_symop_operation_xyz
'x,y,z'
'-y,x-y,z'
'-x+y,-x,z'
'-y,-x,-z'
'-x+y,y,-z'
'x,x-y,-z'
loop_
_atom_site_label
_atom_site_type_symbol
_atom_site_fract_x
_atom_site_fract_y
_atom_site_fract_z
Tb1 Tb 0.0000 0.0000 0.0000
Tm1 Tm 0.6667 0.3333 0.5000
Mo1 Mo 0.3333 0.6667 0.0000
O1 O 0.0316 0.3759 0.2310
```

Calculated values
* E: -7.779 eV per atom
* total magnetization: 0.00 μB/f.u.
* mass density: 7.015 g/cm3